# 1
Entry from Alexandria via LeMat-Bulk: a crystal of LaCd2Pt2 relaxed with PBEsol (meta-GGA SCAN).

Properties
**Crystal system**: tetragonal

a = 4.8922 Å, b = 4.8922 Å, c = 5.7970 Å
α = 114.96°, β = 114.96°, γ = 90.00°
Positions (direct):
Cd  0.3590  0.3590  0.7181
Cd  0.6410  0.6410  0.2819
Pt  0.7500  0.2500  0.5000
Pt  0.2500  0.7500  0.5000
La  0.0000  0.0000  0.0000

***

# 2
Entry from Alexandria via LeMat-Bulk: a crystal of LaCdPt2 relaxed with PBEsol (meta-GGA SCAN).

Properties
**Crystal system**: orthorhombic

a = 3.8927 Å, b = 4.2021 Å, c = 5.5269 Å
α = 90.00°, β = 110.62°, γ = 90.00°
Positions (direct):
La  0.3954  0.5000  0.7908
Pt  0.8304  0.0000  0.6608
Pt  0.6643  0.5000  0.3286
Cd  0.1051  0.0000  0.2103

***

# 3
Entry from Alexandria via LeMat-Bulk: a crystal of La2CdPt relaxed with PBEsol (meta-GGA SCAN).

Properties
**Crystal system**: tetragonal

a = 3.7141 Å, b = 3.7141 Å, c = 7.5245 Å
α = 90.04°, β = 90.00°, γ = 90.00°
Positions (direct):
La  0.0000  0.9996  0.7208
La  0.0000  0.0004  0.2792
Pt  0.5000  0.5000  0.5000
Cd  0.5000  0.5000  0.0000

***

# 4
Entry from Alexandria via LeMat-Bulk: a crystal of LaCd3Pt relaxed with PBEsol (meta-GGA SCAN).

Properties
**Crystal system**: cubic

a = 5.7377 Å, b = 5.7377 Å, c = 5.7377 Å
α = 90.00°, β = 90.00°, γ = 90.00°
Last column: magnetic moment on the atom in μB.
Positions (direct):
Cd  0.5000  0.0000  0.0000  0.04
Cd  0.0000  0.5000  0.0000  0.04
Cd  0.0000  0.0000  0.5000  0.04
La  0.0000  0.0000  0.0000  0.38
Pt  0.5000  0.5000  0.5000  -0.29

***

# 5
Entry from Alexandria via LeMat-Bulk: a crystal of La4CdPt relaxed with PBEsol (meta-GGA SCAN).

Properties
**Crystal system**: cubic

a = 10.0016 Å, b = 10.0016 Å, c = 10.0016 Å
α = 60.00°, β = 60.00°, γ = 60.00°
Positions (direct):
Cd  0.4862  0.1713  0.1713
Cd  0.1713  0.4862  0.1713
Cd  0.1713  0.1713  0.4862
Cd  0.1713  0.1713  0.1713
La  0.8123  0.1877  0.8123
La  0.3999  0.8002  0.3999
La  0.1877  0.8123  0.1877
La  0.8123  0.8123  0.1877
La  0.9447  0.9447  0.5553
La  0.1877  0.8123  0.8123
La  0.1877  0.1877  0.8123
La  0.8123  0.1877  0.1877
La  0.9447  0.5553  0.9447
La  0.5553  0.5553  0.9447
La  0.5553  0.9447  0.9447
La  0.3999  0.3999  0.3999
La  0.5553  0.9447  0.5553
La  0.3999  0.3999  0.8002
La  0.9447  0.5553  0.5553
La  0.8002  0.3999  0.3999
Pt  0.6072  0.1783  0.6072
Pt  0.6072  0.6072  0.6072
Pt  0.1783  0.6072  0.6072
Pt  0.6072  0.6072  0.1783

***

# 6
Entry from Alexandria via LeMat-Bulk: a crystal of La2CdPt relaxed with PBEsol (meta-GGA SCAN).

Properties
**Crystal system**: trigonal

a = 4.1196 Å, b = 4.1184 Å, c = 8.4606 Å
α = 104.10°, β = 90.00°, γ = 120.01°
Positions (direct):
Cd  0.5000  0.0000  0.0000
La  0.7350  0.4700  0.7053
La  0.2650  0.5300  0.2947
Pt  0.0000  0.0000  0.5000

***

# 7
Entry from Alexandria via LeMat-Bulk: a crystal of LaCd2Pt2 relaxed with PBEsol (meta-GGA SCAN).

Properties
**Crystal system**: tetragonal

a = 4.0504 Å, b = 4.0504 Å, c = 7.0870 Å
α = 106.60°, β = 106.60°, γ = 90.00°
Positions (direct):
Cd  0.7500  0.2500  0.5000
Cd  0.2500  0.7500  0.5000
Pt  0.3994  0.3994  0.7989
Pt  0.6006  0.6006  0.2011
La  0.0000  0.0000  0.0000

***

# 8
Entry from Alexandria via LeMat-Bulk: a crystal of LaCd2Re relaxed with PBEsol (meta-GGA SCAN).

Properties
**Crystal system**: tetragonal

a = 4.5953 Å, b = 5.1768 Å, c = 4.5953 Å
α = 63.65°, β = 90.00°, γ = 116.35°
Positions (direct):
Cd  0.0000  0.0000  0.0000
Cd  0.2500  0.5000  0.2500
Re  0.7500  0.5000  0.7500
La  0.5000  0.0000  0.5000

***

# 9
Entry from Alexandria via LeMat-Bulk: a crystal of LaCd2Re relaxed with PBEsol (meta-GGA SCAN).

Properties
**Crystal system**: cubic

a = 4.9460 Å, b = 4.9460 Å, c = 4.9460 Å
α = 60.00°, β = 60.00°, γ = 60.00°
Positions (direct):
Cd  0.2500  0.2500  0.2500
Cd  0.7500  0.7500  0.7500
Re  0.5000  0.5000  0.5000
La  0.0000  0.0000  0.0000

***

# 10
Entry from Alexandria via LeMat-Bulk: a crystal of LaCd2Re relaxed with PBEsol (meta-GGA SCAN).

Properties
**Crystal system**: orthorhombic

a = 2.9222 Å, b = 4.0855 Å, c = 7.2553 Å
α = 90.00°, β = 90.00°, γ = 90.00°
Positions (direct):
Cd  0.0001  0.0000  0.9806
Cd  0.5002  0.5000  0.2008
Re  0.4999  0.5000  0.7861
La  0.9998  0.0000  0.5324

***

# 11
Entry from Alexandria via LeMat-Bulk: a crystal of La2CdRe relaxed with PBEsol (meta-GGA SCAN).

Properties
**Crystal system**: tetragonal

a = 3.4943 Å, b = 3.4943 Å, c = 8.3133 Å
α = 90.00°, β = 90.00°, γ = 90.00°
Positions (direct):
La  0.0000  0.0000  0.7912
La  0.0000  0.0000  0.2088
Re  0.5000  0.5000  0.0000
Cd  0.5000  0.5000  0.5000

***

# 12
Entry from Alexandria via LeMat-Bulk: a crystal of LaCdRe relaxed with PBEsol (meta-GGA SCAN).

Properties
**Crystal system**: trigonal

a = 2.8140 Å, b = 5.1017 Å, c = 5.1017 Å
α = 120.00°, β = 90.00°, γ = 90.00°
Positions (direct):
La  0.6666  0.3333  0.6667
Cd  0.1685  0.0000  0.0000
Re  0.1649  0.6667  0.3333

***

| no. | total magnetic moment (μB per cell) | formation enthalpy at 0 K (eV per formula unit) | uncorrected energy (eV per cell) |
| --- | --- | --- | --- |
| 1 | 0.00 | -2.80 | -247.12 |
| 2 | 0.00 | -3.72 | -217.62 |
| 3 | 0.00 | -3.43 | -190.24 |
| 4 | 0.67 | 7.42 | -197.12 |
| 5 | 0.00 | -4.16 | -1108.76 |
| 6 | 0.00 | -3.30 | -190.12 |
| 7 | 0.00 | -4.17 | -248.49 |
| 8 | 0.00 | 2.19 | -172.84 |
| 9 | 0.00 | 2.04 | -172.99 |
| 10 | 0.00 | 1.51 | -173.52 |
| 11 | 0.00 | 0.05 | -187.67 |
| 12 | 0.00 | 1.63 | -142.99 |